(1)
Entry from Alexandria via LeMat-Bulk: a relaxed ScB4Ru4 crystal (PBE).

Lattice parameters (Å, degrees): 7.395 7.395 14.982 90.00 90.00 90.00
Space group I4_1/acd (No. 142, origin choice 2)
Symmetry-distinct sites (fractional):
Sc: 0.000 0.250 0.125 x8
B: 0.135 0.080 0.294 x32
Ru: 0.114 0.096 0.437 x32

- ΔH_f (0 K): -4.22 eV/f.u.
- Density of states at the Fermi level: 8.21 states/eV/f.u.
- Crystal system: tetragonal
- Final energy: -8.26 eV/atom

(2)
Entry from Alexandria via LeMat-Bulk: a relaxed ScB4Ru4 crystal (PBE).

Lattice parameters (Å, degrees): 5.338 5.338 7.229 90.00 90.00 90.00
Space group P4_2/nmc (No. 137, origin choice 2)
Symmetry-distinct sites (fractional):
Sc: 0.250 0.750 0.250 x2
B: 0.079 0.250 0.101 x8
Ru: 0.005 0.750 0.606 x8

- ΔH_f (0 K): -3.69 eV/f.u.
- Density of states at the Fermi level: 7.14 states/eV/f.u.
- Crystal system: tetragonal
- Final energy: -8.20 eV/atom

(3)
Entry from Alexandria via LeMat-Bulk: a relaxed ScBRu2 crystal (PBE).

Lattice parameters (Å, degrees): 3.097 10.987 6.315 90.00 90.00 90.00
Space group Cmcm (No. 63)
Symmetry-distinct sites (fractional):
Sc: 0.000 0.020 0.250 x4
B: 0.000 0.215 0.750 x4
Ru: 0.000 0.351 0.020 x8

- ΔH_f (0 K): -1.53 eV/f.u.
- Density of states at the Fermi level: 1.30 states/eV/f.u.
- Crystal system: orthorhombic
- Final energy: -8.27 eV/atom

(4)
Entry from Alexandria via LeMat-Bulk: a relaxed Sc3B2Ru7 crystal (PBE).

Lattice parameters (Å, degrees): 4.168 19.953 4.184 90.00 90.00 90.00
Space group Cmmm (No. 65)
Symmetry-distinct sites (fractional):
Sc: 0.000 0.000 0.000 x2
Sc: 0.000 0.187 0.000 x4
B: 0.000 0.394 0.500 x4
Ru: 0.000 0.099 0.500 x4
Ru: 0.000 0.289 0.500 x4
Ru: 0.000 0.399 0.000 x4
Ru: 0.000 0.500 0.500 x2

- ΔH_f (0 K): -4.45 eV/f.u.
- Density of states at the Fermi level: 12.54 states/eV/f.u.
- Crystal system: orthorhombic
- Final energy: -8.48 eV/atom

(5)
Entry from Alexandria via LeMat-Bulk: a relaxed Sc2SiB2Ru5 crystal (PBE).

Lattice parameters (Å, degrees): 9.305 9.305 3.011 90.00 90.00 90.00
Space group P4/mbm (No. 127)
Symmetry-distinct sites (fractional):
Sc: 0.175 0.325 0.000 x4
Si: 0.000 0.000 0.000 x2
B: 0.126 0.626 0.000 x4
Ru: 0.000 0.500 0.500 x2
Ru: 0.069 0.790 0.500 x8

- Density of states at the Fermi level: 8.87 states/eV/f.u.
- Crystal system: tetragonal
- Final energy: -8.45 eV/atom

(6)
Entry from Alexandria via LeMat-Bulk: a relaxed ScSiB2Ru crystal (PBE).

Lattice parameters (Å, degrees): 3.982 3.982 4.793 90.00 90.00 90.00
Space group P4/mmm (No. 123)
Symmetry-distinct sites (fractional):
Sc: 0.000 0.000 0.000 x1
Si: 0.500 0.500 0.000 x1
B: 0.000 0.500 0.500 x2
Ru: 0.500 0.500 0.500 x1

- Density of states at the Fermi level: 4.07 states/eV/f.u.
- Crystal system: tetragonal
- Final energy: -6.51 eV/atom